1.
Computed, not measured: Pr2HIr after structural relaxation at the PBE-GGA level of DFT.

Structure (CIF):
```
data_Pr2HIr
_chemical_formula_sum 'Pr8 H4 Ir4'
_space_group_name_H-M_alt 'P 1 21/c 1'
_space_group_IT_number 14
_cell_length_a 7.589
_cell_length_b 7.390
_cell_length_c 7.237
_cell_angle_alpha 90.00
_cell_angle_beta 110.44
_cell_angle_gamma 90.00
loop_
_space_group_symop_operation_xyz
'x,y,z'
'-x,-y,-z'
'-x,y+1/2,-z+1/2'
'x,-y+1/2,z+1/2'
loop_
_atom_site_label
_atom_site_type_symbol
_atom_site_fract_x
_atom_site_fract_y
_atom_site_fract_z
Pr1 Pr 0.186 0.187 0.062
Pr2 Pr 0.287 0.661 0.975
H1 H 0.381 0.137 0.413
Ir1 Ir 0.073 0.548 0.218
```

Results
Uncorrected energy ... -5.941 eV/atom


2.
Computed, not measured: PrH2Ir after structural relaxation at the PBE-GGA level of DFT.

Structure (CIF):
```
data_PrH2Ir
_chemical_formula_sum 'Pr3 H6 Ir3'
_space_group_name_H-M_alt 'R -3 m'
_space_group_IT_number 166
_space_group_name_Hall '-R 3 2"'
_cell_length_a 4.2261
_cell_length_b 4.2261
_cell_length_c 11.3366
_cell_angle_alpha 90.00
_cell_angle_beta 90.00
_cell_angle_gamma 120.00
loop_
_atom_site_label
_atom_site_type_symbol
_atom_site_fract_x
_atom_site_fract_y
_atom_site_fract_z
Pr1 Pr 0.0000 0.0000 0.0000
H1 H 0.0000 0.0000 0.3511
Ir1 Ir 0.0000 0.0000 0.5000
```

Results
Uncorrected energy ... -5.514 eV/atom


3.
Computed, not measured: Pr2H6IrRu after structural relaxation at the PBE-GGA level of DFT.

Structure (CIF):
```
data_Pr2H6IrRu
_chemical_formula_sum 'Pr4 H12 Ir2 Ru2'
_space_group_name_H-M_alt 'I 4/m m m'
_space_group_IT_number 139
_space_group_name_Hall '-I 4 2'
_cell_length_a 5.326
_cell_length_b 5.326
_cell_length_c 7.504
_cell_angle_alpha 90.00
_cell_angle_beta 90.00
_cell_angle_gamma 90.00
loop_
_atom_site_label
_atom_site_type_symbol
_atom_site_fract_x
_atom_site_fract_y
_atom_site_fract_z
Pr1 Pr 0.000 0.500 0.250
H1 H 0.000 0.000 0.249
H2 H 0.249 0.249 0.500
Ir1 Ir 0.000 0.000 0.000
Ru1 Ru 0.000 0.000 0.500
```

Results
Uncorrected energy ... -5.224 eV/atom